Compound: KPaCoO4
Source: Alexandria
Functional: PBE with a Hubbard U
Structure: optimized geometry

Final energy = -208.4 eV/cell
Spin magnetization = 12.055 μB/cell

Geometry as CIF:
```
data_KPaCoO4
_chemical_formula_sum 'K4 Pa4 Co4 O16'
_cell_length_a 6.321
_cell_length_b 7.132
_cell_length_c 10.220
_cell_angle_alpha 90.00
_cell_angle_beta 90.00
_cell_angle_gamma 90.00
_space_group_name_H-M_alt 'I m m a'
_space_group_IT_number 74
_space_group_name_Hall '-I 2b 2'
loop_
_atom_site_label
_atom_site_type_symbol
_atom_site_fract_x
_atom_site_fract_y
_atom_site_fract_z
K1 K 0.000 0.250 0.169
Pa1 Pa 0.000 0.000 0.500
Co1 Co 0.250 0.250 0.750
O1 O 0.000 0.061 0.709
O2 O 0.206 0.250 0.493
```